First-principles (PBE) data for crystalline PuHf2Hg at its relaxed geometry, as listed in Alexandria via LeMat-Bulk.

Geometry as POSCAR:
```
PuHf2Hg
1.0
1.612 0.931 10.090
-1.612 0.931 10.090
0.000 -1.862 10.090
Pu Hf Hg
1 2 1
direct
0.000 0.000 0.000
0.582 0.582 0.582
0.752 0.752 0.752
0.167 0.167 0.167
```

Output
**Calculated total energy**: -8.5520 eV/atom
**Formation energy**: 0.0831 eV per atom
**Size of the total moment**: 1.241 μB per atom
**V**: 22.721 Å³ per atom